# 1
Here is TaCd2Mo after structural relaxation from Alexandria. Energies are from PBE.

**Calculated formation energy**: 0.3911 eV/atom
**E**: -5.737 eV per atom
**Energy above the most stable polymorph in this dataset**: 0.212 eV/atom
**Density of states at the Fermi level**: 1.21 states/eV per cell
**V**: 73.4 Å³/cell
**Symmetry**: P4/mmm, No. 123

Structure (extended XYZ):
```
4
Lattice="2.8139 0.0000 0.0000 0.0000 2.8139 0.0000 0.0000 0.0000 9.2675" Properties=species:S:1:pos:R:3 pbc="T T T"
Cd 0.0000 0.0000 0.0487
Cd 0.0000 0.0000 4.5850
Mo 1.4070 1.4070 2.3169
Ta 1.4070 1.4070 6.9506
```

***

# 2
Here is PmVC2 after structural relaxation from Alexandria. Energies are from PBE.

**Calculated formation energy**: 0.0226 eV/atom
**E**: -8.057 eV per atom
**Density of states at the Fermi level**: 0.67 states/eV per cell
**V**: 51.0 Å³/cell
**Symmetry**: R-3m, No. 166

Structure (extended XYZ):
```
4
Lattice="3.2519 0.0000 0.0000 1.6259 2.8162 0.0000 1.6259 0.9387 5.5716" Properties=species:S:1:pos:R:3 pbc="T T T"
C 1.6259 0.9387 1.0720
C 4.8778 2.8162 4.4995
V 0.0000 0.0000 0.0000
Pm 3.2519 1.8775 2.7858
```

***

# 3
Here is SrLiIr2 after structural relaxation from Alexandria. Energies are from PBE.

**Calculated formation energy**: 0.6144 eV/atom
**E**: -4.715 eV per atom
**Energy above the most stable polymorph in this dataset**: 0.536 eV/atom
**Density of states at the Fermi level**: 5.80 states/eV per cell
**V**: 74.1 Å³/cell
**Symmetry**: R3m, No. 160

Structure (extended XYZ):
```
4
Lattice="-0.7722 -6.2481 -8.1130 2.0778 -5.7017 -8.2843 1.1066 -7.8271 -6.5550" Properties=species:S:1:pos:R:3 pbc="T T T"
Ir 2.3851 -19.5549 -22.6945
Ir 0.6095 -4.9974 -5.7998
Li 1.2453 -10.2096 -11.8488
Sr 1.7906 -14.6806 -17.0376
```

***

# 4
Here is Ca2TcW after structural relaxation from Alexandria. Energies are from PBE.

**Calculated formation energy**: 0.7715 eV/atom
**E**: -6.059 eV per atom
**Energy above the most stable polymorph in this dataset**: 0.456 eV/atom
**Density of states at the Fermi level**: 3.65 states/eV per cell
**V**: 80.3 Å³/cell
**Symmetry**: F-43m, No. 216

Structure (extended XYZ):
```
4
Lattice="-0.6817 -0.3714 4.7800 -2.7025 -3.9587 -0.6903 4.4918 0.2107 -1.7975" Properties=species:S:1:pos:R:3 pbc="T T T"
Ca 0.0000 0.0000 0.0000
Ca 0.0486 -2.9566 -0.2214
Tc -1.6921 -2.1651 2.0449
W 1.0590 -1.1629 2.5137
```

***

Number 1: theoretical density 11353 kg/m3. Number 2: theoretical density 7159 kg/m3. Number 3: theoretical density 10728 kg/m3. Number 4: theoretical density 7487 kg/m3.